<1>
A relaxed TiAgRu3 crystal, computed with PBE-GGA.

ρ, g cm⁻³: 8.2
Total moment, μB per formula unit: 3.0

Unit cell a=4.5254 b=4.5254 c=4.5254 alpha=90.00 beta=90.00 gamma=90.00
Space group Pm-3m (No. 221)
Inequivalent atoms, fractional coordinates:
Ti: 0.0000 0.0000 0.0000 x1
Ag: 0.5000 0.5000 0.5000 x1
Ru: 0.0000 0.0000 0.5000 x3

<2>
A relaxed TiAgRu3 crystal, computed with PBE-GGA.

ρ, g cm⁻³: 7.1
Total moment, μB per formula unit: 3.5

Unit cell a=4.7491 b=4.7491 c=4.7491 alpha=90.00 beta=90.00 gamma=90.00
Space group Pm-3m (No. 221)
Inequivalent atoms, fractional coordinates:
Ti: 0.0000 0.0000 0.0000 x1
Ag: 0.5000 0.5000 0.5000 x1
Ru: 0.0000 0.5000 0.5000 x3

Q: Which of them is the least stable? A: <2>.

<1>
A relaxed Ti2AgRu2 crystal, computed with PBE-GGA.

ρ, g cm⁻³: 7.6
Total moment, μB per formula unit: 0.0

Unit cell a=4.0804 b=4.0804 c=10.6947 alpha=90.00 beta=90.00 gamma=90.00
Space group I4/mmm (No. 139)
Inequivalent atoms, fractional coordinates:
Ti: 0.0000 0.5000 0.2500 x4
Ag: 0.0000 0.0000 0.0000 x2
Ru: 0.0000 0.0000 0.3822 x4

<2>
A relaxed Ti2AgRu2 crystal, computed with PBE-GGA.

ρ, g cm⁻³: 8.4
Total moment, μB per formula unit: 0.0

Unit cell a=7.2593 b=7.2593 c=3.0261 alpha=90.00 beta=90.00 gamma=90.00
Space group P4/mbm (No. 127)
Inequivalent atoms, fractional coordinates:
Ti: 0.1552 0.3448 0.0000 x4
Ag: 0.0000 0.0000 0.5000 x2
Ru: 0.1399 0.6399 0.5000 x4

Q: Which of them is the least stable? A: <1>.

<1>
A relaxed TlAgRu2 crystal, computed with PBE-GGA.

ρ, g cm⁻³: 12.3
Total moment, μB per formula unit: 1.3

Unit cell a=2.8753 b=4.7946 c=5.0396 alpha=90.00 beta=91.16 gamma=90.00
Space group P2/m (No. 10)
Inequivalent atoms, fractional coordinates:
Tl: 0.0000 0.0000 0.0000 x1
Ag: 0.5000 0.0000 0.5000 x1
Ru: 0.2250 0.5000 0.7267 x2

<2>
A relaxed TlAgRu2 crystal, computed with PBE-GGA.

ρ, g cm⁻³: 12.7
Total moment, μB per formula unit: 0.7

Unit cell a=4.1521 b=4.1521 c=7.8058 alpha=90.00 beta=90.00 gamma=90.00
Space group I-4m2 (No. 119)
Inequivalent atoms, fractional coordinates:
Tl: 0.0000 0.0000 0.0000 x2
Ag: 0.0000 0.5000 0.7500 x2
Ru: 0.0000 0.0000 0.5000 x2
Ru: 0.0000 0.5000 0.2500 x2

Q: Which of them is the least stable? A: <1>.

<1>
A relaxed Tl2AgRu2 crystal, computed with PBE-GGA.

ρ, g cm⁻³: 11.1
Total moment, μB per formula unit: 0.0

Unit cell a=5.1815 b=5.1815 c=8.0404 alpha=90.00 beta=90.00 gamma=90.00
Space group I4/mmm (No. 139)
Inequivalent atoms, fractional coordinates:
Tl: 0.0000 0.5000 0.2500 x4
Ag: 0.0000 0.0000 0.0000 x2
Ru: 0.0000 0.0000 0.3592 x4

<2>
A relaxed Tl2AgRu2 crystal, computed with PBE-GGA.

ρ, g cm⁻³: 12.3
Total moment, μB per formula unit: 0.0

Unit cell a=6.8866 b=6.8866 c=4.1078 alpha=90.00 beta=90.00 gamma=90.00
Space group P4/mbm (No. 127)
Inequivalent atoms, fractional coordinates:
Tl: 0.1761 0.3239 0.0000 x4
Ag: 0.0000 0.0000 0.5000 x2
Ru: 0.1255 0.6255 0.5000 x4

Q: Which of them is the least stable? A: <1>.

<1>
A relaxed TlVAg2Ru crystal, computed with PBE-GGA.

ρ, g cm⁻³: 7.3
Total moment, μB per formula unit: 0.6

Unit cell a=5.0501 b=5.0501 c=5.0711 alpha=90.00 beta=90.00 gamma=90.00
Space group P4/mmm (No. 123)
Inequivalent atoms, fractional coordinates:
Tl: 0.0000 0.0000 0.0000 x1
V: 0.5000 0.5000 0.0000 x1
Ag: 0.0000 0.5000 0.5000 x2
Ru: 0.0000 0.0000 0.5000 x1

<2>
A relaxed TlVAg2Ru crystal, computed with PBE-GGA.

ρ, g cm⁻³: 8.3
Total moment, μB per formula unit: 0.0

Unit cell a=4.7640 b=4.7640 c=5.0682 alpha=90.00 beta=90.00 gamma=90.00
Space group P4/mmm (No. 123)
Inequivalent atoms, fractional coordinates:
Tl: 0.0000 0.0000 0.0000 x1
V: 0.0000 0.0000 0.5000 x1
Ag: 0.0000 0.5000 0.5000 x2
Ru: 0.5000 0.5000 0.0000 x1

Q: Which of them is the least stable? A: <2>.

<1>
A relaxed Tm4AgRu2 crystal, computed with PBE-GGA.

ρ, g cm⁻³: 10.4
Total moment, μB per formula unit: 0.0

Unit cell a=8.6085 b=8.6085 c=8.5127 alpha=90.00 beta=90.00 gamma=90.00
Space group I-42d (No. 122)
Inequivalent atoms, fractional coordinates:
Tm: 0.0701 0.6769 0.4265 x16
Ag: 0.0000 0.0000 0.5000 x4
Ru: 0.1460 0.7500 0.1250 x8

<2>
A relaxed Tm4AgRu2 crystal, computed with PBE-GGA.

ρ, g cm⁻³: 10.4
Total moment, μB per formula unit: 0.0

Unit cell a=4.7983 b=4.7983 c=6.8291 alpha=90.00 beta=90.00 gamma=90.00
Space group P4/mmm (No. 123)
Inequivalent atoms, fractional coordinates:
Tm: 0.0000 0.5000 0.2430 x4
Ag: 0.0000 0.0000 0.5000 x1
Ru: 0.0000 0.0000 0.0000 x1
Ru: 0.5000 0.5000 0.5000 x1

Q: Which of them is the least stable? A: <1>.